[1]
Here is a relaxed structure of Ac3TbPt3 from the Alexandria database. Energies are from PBE.

Structure (extended XYZ):
```
28
Lattice="8.759 0.000 0.000 0.000 7.651 0.000 -0.067 0.000 13.471" Properties=species:S:1:pos:R:3 pbc="T T T"
Ac 1.014 1.197 2.258
Ac 0.981 2.628 8.993
Ac 3.231 5.227 4.427
Ac 3.198 6.249 11.162
Ac 3.306 1.483 5.756
Ac 3.272 2.343 12.492
Ac 5.420 5.308 0.979
Ac 5.387 6.168 7.715
Ac 5.495 1.402 2.309
Ac 5.461 2.423 9.044
Ac 7.711 5.022 4.478
Ac 7.678 6.454 11.213
Tb 1.225 5.007 0.888
Tb 1.192 6.469 7.623
Tb 7.500 1.181 5.848
Tb 7.467 2.644 12.583
Pt 0.964 4.189 11.650
Pt 0.997 7.287 4.915
Pt 3.013 4.198 7.355
Pt 3.046 7.278 0.619
Pt 3.172 0.498 8.727
Pt 3.205 3.327 1.991
Pt 5.487 4.323 11.480
Pt 5.520 7.153 4.744
Pt 5.646 0.373 12.852
Pt 5.680 3.452 6.116
Pt 7.695 0.363 8.556
Pt 7.729 3.462 1.821
```

Results
The density of states at the Fermi level is 18.094 states/eV per cell. As for the symmetry: P2_1/c, No. 14. The value obtained for the calculated formation energy is -983 meV per atom.

---

[2]
Here is a relaxed structure of Ac2TbPt from the Alexandria database. Energies are from PBE.

Structure (extended XYZ):
```
4
Lattice="2.030 1.172 11.009 -2.030 1.172 11.009 0.000 -2.344 11.009" Properties=species:S:1:pos:R:3 pbc="T T T"
Ac 0.000 0.000 3.642
Ac 0.000 0.000 29.386
Tb 0.000 0.000 0.000
Pt 0.000 0.000 16.514
```

Results
For the energy above the lowest structure with this stoichiometry, the calculation gives 210 meV per atom. The density of states at the Fermi level is 6.006 states/eV per cell. As for the symmetry: R-3m, No. 166. The value obtained for the calculated formation energy is -234 meV per atom.

---

[3]
Here is a relaxed structure of Ac2TbPt from the Alexandria database. Energies are from PBE.

Structure (extended XYZ):
```
4
Lattice="3.875 0.000 0.000 0.000 3.875 0.000 0.000 0.000 8.794" Properties=species:S:1:pos:R:3 pbc="T T T"
Ac 0.000 0.000 1.780
Ac 0.000 0.000 7.014
Tb 1.938 1.938 4.397
Pt 1.938 1.938 0.000
```

Results
For the energy above the lowest structure with this stoichiometry, the calculation gives 0 meV per atom. The density of states at the Fermi level is 5.211 states/eV per cell. As for the symmetry: P4/mmm, No. 123. The value obtained for the calculated formation energy is -444 meV per atom.

---

[4]
Here is a relaxed structure of AcTbPt from the Alexandria database. Energies are from PBE.

Structure (extended XYZ):
```
12
Lattice="-6.050 6.050 3.047 6.050 -6.050 3.047 6.050 6.050 -3.047" Properties=species:S:1:pos:R:3 pbc="T T T"
Ac 3.778 0.000 0.000
Ac 8.322 0.000 0.000
Ac 0.000 3.778 0.000
Ac 0.000 8.322 0.000
Tb 3.961 3.961 0.000
Tb 2.089 -2.089 3.047
Tb -2.089 2.089 3.047
Tb 2.089 2.089 3.047
Pt 6.050 2.132 0.000
Pt 2.132 6.050 0.000
Pt 3.919 0.000 3.047
Pt 0.000 3.919 3.047
```

Results
For the energy above the lowest structure with this stoichiometry, the calculation gives 204 meV per atom. The density of states at the Fermi level is 8.941 states/eV per cell. As for the symmetry: I4/mmm, No. 139. The value obtained for the calculated formation energy is -644 meV per atom.

---

[5]
Here is a relaxed structure of AcTb3Pt from the Alexandria database. Energies are from PBE.

Structure (extended XYZ):
```
5
Lattice="5.570 0.000 0.000 0.000 5.570 0.000 0.000 0.000 5.570" Properties=species:S:1:pos:R:3 pbc="T T T"
Ac 0.000 0.000 0.000
Tb 0.000 2.785 2.785
Tb 2.785 0.000 2.785
Tb 2.785 2.785 0.000
Pt 2.785 2.785 2.785
```

Results
The density of states at the Fermi level is 8.645 states/eV per cell. As for the symmetry: Pm-3m, No. 221. The value obtained for the calculated formation energy is -412 meV per atom.

---

[6]
Here is a relaxed structure of AcTb3Pt8 from the Alexandria database. Energies are from PBE.

Structure (extended XYZ):
```
12
Lattice="5.508 0.000 0.000 -2.754 4.770 0.000 0.000 0.000 9.038" Properties=species:S:1:pos:R:3 pbc="T T T"
Ac 0.000 0.000 0.000
Tb 0.000 0.000 3.401
Tb 2.754 1.590 4.446
Tb 2.754 1.590 7.712
Pt 0.000 1.577 6.125
Pt -1.389 3.982 6.125
Pt 0.000 3.180 3.903
Pt 0.000 3.180 8.422
Pt 2.754 0.025 1.705
Pt 1.398 2.373 1.705
Pt 1.389 3.982 6.125
Pt 4.110 2.373 1.705
```

Results
The density of states at the Fermi level is 5.232 states/eV per cell. As for the symmetry: P3m1, No. 156. The value obtained for the calculated formation energy is -1024 meV per atom.

---

[7]
Here is a relaxed structure of AcTbPt from the Alexandria database. Energies are from PBE.

Structure (extended XYZ):
```
12
Lattice="7.244 0.000 0.000 0.000 7.269 0.000 -5.615 0.000 7.452" Properties=species:S:1:pos:R:3 pbc="T T T"
Ac -0.954 0.402 3.225
Ac -3.761 3.232 6.951
Ac 5.391 4.036 0.501
Ac 2.583 6.866 4.227
Tb -0.838 4.003 4.214
Tb 1.970 6.900 0.488
Tb -0.341 0.369 6.964
Tb 2.467 3.266 3.238
Pt 0.621 5.120 2.105
Pt -2.187 5.782 5.831
Pt 3.816 1.486 1.622
Pt 1.008 2.148 5.348
```

Results
For the energy above the lowest structure with this stoichiometry, the calculation gives 86 meV per atom. The density of states at the Fermi level is 11.613 states/eV per cell. As for the symmetry: P2_1/c, No. 14. The value obtained for the calculated formation energy is -762 meV per atom.

---

[8]
Here is a relaxed structure of Ac2Tb3Pt2 from the Alexandria database. Energies are from PBE.

Structure (extended XYZ):
```
7
Lattice="6.406 -1.960 0.000 6.406 1.960 0.000 -4.290 0.000 8.357" Properties=species:S:1:pos:R:3 pbc="T T T"
Ac 0.739 0.000 2.546
Ac 7.783 0.000 5.810
Tb 4.581 0.000 0.565
Tb 4.261 0.000 4.178
Tb 3.942 0.000 7.792
Pt -1.105 0.000 6.210
Pt 9.627 0.000 2.147
```

Results
The density of states at the Fermi level is 8.296 states/eV per cell. As for the symmetry: C2/m, No. 12. The value obtained for the calculated formation energy is -746 meV per atom.

---

[9]
Here is a relaxed structure of AcTb2Pt9 from the Alexandria database. Energies are from PBE.

Structure (extended XYZ):
```
12
Lattice="2.745 1.585 8.858 -2.745 1.585 8.858 0.000 -3.169 8.858" Properties=species:S:1:pos:R:3 pbc="T T T"
Ac 0.000 0.000 0.000
Tb 0.000 0.000 3.746
Tb 0.000 0.000 22.828
Pt -1.393 -0.804 11.152
Pt 0.000 0.000 8.842
Pt 0.000 -1.608 15.422
Pt -1.393 0.804 15.422
Pt 0.000 0.000 13.287
Pt 1.393 -0.804 11.152
Pt 0.000 1.608 11.152
Pt 0.000 0.000 17.732
Pt 1.393 0.804 15.422
```

Results
The density of states at the Fermi level is 8.251 states/eV per cell. As for the symmetry: R-3m, No. 166. The value obtained for the calculated formation energy is -973 meV per atom.

---

[10]
Here is a relaxed structure of Ac5TbPt4 from the Alexandria database. Energies are from PBE.

Structure (extended XYZ):
```
10
Lattice="9.437 -2.180 0.000 9.437 2.180 0.000 -2.109 0.000 8.276" Properties=species:S:1:pos:R:3 pbc="T T T"
Ac 0.000 0.000 0.000
Ac 4.904 0.000 5.410
Ac 6.036 0.000 1.424
Ac 10.729 0.000 6.852
Ac 11.862 0.000 2.867
Tb -1.055 0.000 4.138
Pt 1.858 0.000 4.885
Pt 7.851 0.000 6.145
Pt 8.915 0.000 2.131
Pt 14.908 0.000 3.391
```

Results
The density of states at the Fermi level is 7.373 states/eV per cell. As for the symmetry: C2/m, No. 12. The value obtained for the calculated formation energy is -951 meV per atom.

---

[11]
Here is a relaxed structure of AcTbTlPt from the Alexandria database. Energies are from PBE.

Structure (extended XYZ):
```
4
Lattice="0.000 3.820 3.820 3.820 0.000 3.820 3.820 3.820 0.000" Properties=species:S:1:pos:R:3 pbc="T T T"
Ac 0.000 0.000 0.000
Tb 3.820 3.820 3.820
Tl 1.910 1.910 1.910
Pt 5.730 5.730 5.730
```

Results
The density of states at the Fermi level is 4.184 states/eV per cell. As for the symmetry: F-43m, No. 216. The value obtained for the calculated formation energy is -574 meV per atom.

---

[12]
Here is a relaxed structure of Ac2TbZn3Pt4 from the Alexandria database. Energies are from PBE.

Structure (extended XYZ):
```
10
Lattice="4.327 0.000 0.000 0.000 4.327 0.000 0.000 0.000 11.706" Properties=species:S:1:pos:R:3 pbc="T T T"
Ac 0.000 2.163 2.647
Ac 2.163 0.000 9.059
Tb 0.000 0.000 5.853
Zn 0.000 2.163 10.296
Zn 2.163 0.000 1.410
Zn 2.163 2.163 5.853
Pt 0.000 0.000 0.000
Pt 0.000 2.163 7.692
Pt 2.163 0.000 4.013
Pt 2.163 2.163 0.000
```

Results
The density of states at the Fermi level is 6.314 states/eV per cell. As for the symmetry: P-4m2, No. 115. The value obtained for the calculated formation energy is -851 meV per atom.

---

[13]
Here is a relaxed structure of AcTbZnPt from the Alexandria database. Energies are from PBE.

Structure (extended XYZ):
```
4
Lattice="0.000 3.701 3.701 3.701 0.000 3.701 3.701 3.701 0.000" Properties=species:S:1:pos:R:3 pbc="T T T"
Ac 0.000 0.000 0.000
Tb 3.701 3.701 3.701
Zn 5.551 5.551 5.551
Pt 1.850 1.850 1.850
```

Results
The density of states at the Fermi level is 2.954 states/eV per cell. As for the symmetry: F-43m, No. 216. The value obtained for the calculated formation energy is -635 meV per atom.

---

[14]
Here is a relaxed structure of Ac6TcPt2 from the Alexandria database. Energies are from PBE.

Structure (extended XYZ):
```
18
Lattice="7.261 0.000 0.000 0.000 7.896 0.000 -6.242 0.000 10.991" Properties=species:S:1:pos:R:3 pbc="T T T"
Ac -0.955 0.430 2.704
Ac -4.076 3.518 8.200
Ac 1.328 5.405 0.876
Ac -1.793 6.439 6.372
Ac 2.397 1.444 0.713
Ac -0.724 2.504 6.208
Ac 1.742 5.392 4.783
Ac -1.378 6.452 10.279
Ac 2.812 1.457 4.619
Ac -0.309 2.491 10.115
Ac 5.095 4.379 2.791
Ac 1.974 7.466 8.287
Tc 0.000 0.000 0.000
Tc -3.121 3.948 5.496
Pt -2.451 0.891 8.552
Pt 0.670 3.057 3.056
Pt 0.349 4.839 7.935
Pt 3.470 7.005 2.439
```

Results
The density of states at the Fermi level is 16.974 states/eV per cell. As for the symmetry: P2_1/c, No. 14. The value obtained for the calculated formation energy is -490 meV per atom.

---

[15]
Here is a relaxed structure of Ac8TcPt2 from the Alexandria database. Energies are from PBE.

Structure (extended XYZ):
```
11
Lattice="6.995 -3.864 0.000 6.995 3.864 0.000 -0.085 0.000 7.888" Properties=species:S:1:pos:R:3 pbc="T T T"
Ac 2.823 0.000 4.718
Ac 6.362 1.939 5.865
Ac 7.542 1.939 2.023
Ac 4.122 0.000 0.842
Ac 9.783 0.000 7.046
Ac 6.362 -1.939 5.865
Ac 7.542 -1.939 2.023
Ac 11.081 0.000 3.170
Tc 6.995 0.000 0.000
Pt 5.476 0.000 3.501
Pt 8.428 0.000 4.388
```

Results
The density of states at the Fermi level is 13.381 states/eV per cell. As for the symmetry: C2/m, No. 12. The value obtained for the calculated formation energy is -325 meV per atom.

---

[16]
Here is a relaxed structure of Ac8Tc2Pt from the Alexandria database. Energies are from PBE.

Structure (extended XYZ):
```
11
Lattice="7.115 -4.360 0.000 7.115 4.360 0.000 -2.099 0.000 6.922" Properties=species:S:1:pos:R:3 pbc="T T T"
Ac 1.062 0.000 1.731
Ac 4.686 2.083 1.636
Ac 3.669 0.000 5.215
Ac 7.445 2.083 5.286
Ac 4.686 -2.083 1.636
Ac 8.462 0.000 1.707
Ac 7.445 -2.083 5.286
Ac 11.069 0.000 5.191
Tc 1.004 0.000 6.838
Tc 11.127 0.000 0.084
Pt 6.065 0.000 3.461
```

Results
The density of states at the Fermi level is 8.011 states/eV per cell. As for the symmetry: C2/m, No. 12. The value obtained for the calculated formation energy is -105 meV per atom.

---

[17]
Here is a relaxed structure of Ac5Te4Pt from the Alexandria database. Energies are from PBE.

Structure (extended XYZ):
```
10
Lattice="-2.343 2.343 16.555 2.343 -2.343 16.555 2.343 2.343 -16.555" Properties=species:S:1:pos:R:3 pbc="T T T"
Ac 0.000 0.000 0.000
Ac 0.000 0.000 6.799
Ac 0.000 0.000 13.605
Ac 0.000 0.000 19.505
Ac 0.000 0.000 26.312
Te 0.000 0.000 3.432
Te 0.000 0.000 10.185
Te 0.000 0.000 22.926
Te 0.000 0.000 29.678
Pt 0.000 0.000 16.555
```

Results
The density of states at the Fermi level is 6.310 states/eV per cell. The calculation puts the total energy at -53.2 eV per cell. As for the symmetry: I4/mmm, No. 139.

---

[18]
Here is a relaxed structure of Ac5TePt4 from the Alexandria database. Energies are from PBE.

Structure (extended XYZ):
```
10
Lattice="7.494 -2.225 0.000 7.494 2.225 0.000 -5.538 0.000 9.585" Properties=species:S:1:pos:R:3 pbc="T T T"
Ac 0.000 0.000 0.000
Ac -1.428 0.000 7.850
Ac 2.402 0.000 5.890
Ac 7.048 0.000 3.695
Ac 10.878 0.000 1.735
Te -2.769 0.000 4.793
Pt 1.448 0.000 2.814
Pt 5.485 0.000 1.001
Pt 3.966 0.000 8.584
Pt 8.002 0.000 6.771
```

Results
The density of states at the Fermi level is 5.491 states/eV per cell. The calculation puts the total energy at -59.9 eV per cell. As for the symmetry: C2/m, No. 12.

---

[19]
Here is a relaxed structure of Ac6TePt4 from the Alexandria database. Energies are from PBE.

Structure (extended XYZ):
```
22
Lattice="2.207 -7.395 0.000 2.207 7.395 0.000 0.000 0.000 22.779" Properties=species:S:1:pos:R:3 pbc="T T T"
Ac 0.000 0.000 0.000
Ac 0.000 0.000 11.389
Ac 2.207 4.957 17.084
Ac 2.207 3.370 1.805
Ac 2.207 3.370 9.584
Ac 2.207 0.539 14.952
Ac 2.207 0.539 19.216
Ac 2.207 -0.539 3.563
Ac 2.207 -0.539 7.826
Ac 2.207 -3.370 13.195
Ac 2.207 -3.370 20.973
Ac 2.207 -4.957 5.695
Te 2.207 5.086 5.695
Te 2.207 -5.086 17.084
Pt 2.207 5.974 14.246
Pt 2.207 5.974 19.922
Pt 2.207 2.021 12.358
Pt 2.207 2.021 21.810
Pt 2.207 -2.021 0.968
Pt 2.207 -2.021 10.421
Pt 2.207 -5.974 2.856
Pt 2.207 -5.974 8.533
```

Results
The density of states at the Fermi level is 13.883 states/eV per cell. The calculation puts the total energy at -129.1 eV per cell. As for the symmetry: Cmcm, No. 63.

---

[20]
Here is a relaxed structure of Ac4TePt3 from the Alexandria database. Energies are from PBE.

Structure (extended XYZ):
```
16
Lattice="4.450 0.000 0.000 -2.225 3.853 0.000 0.000 0.000 30.259" Properties=species:S:1:pos:R:3 pbc="T T T"
Ac 0.000 0.000 5.225
Ac 0.000 0.000 9.904
Ac 0.000 0.000 20.355
Ac 0.000 0.000 25.034
Ac 0.000 2.569 1.746
Ac 0.000 2.569 13.384
Ac 2.225 1.284 16.876
Ac 2.225 1.284 28.514
Te 0.000 2.569 7.565
Te 2.225 1.284 22.695
Pt 0.000 0.000 0.000
Pt 0.000 0.000 15.130
Pt 0.000 2.569 18.699
Pt 0.000 2.569 26.690
Pt 2.225 1.284 3.569
Pt 2.225 1.284 11.561
```

Results
The density of states at the Fermi level is 4.248 states/eV per cell. The calculation puts the total energy at -95.7 eV per cell. As for the symmetry: P6_3/mmc, No. 194.

---

[21]
Here is a relaxed structure of Ac3Te2Pt from the Alexandria database. Energies are from PBE.

Structure (extended XYZ):
```
6
Lattice="-2.331 2.331 9.849 2.331 -2.331 9.849 2.331 2.331 -9.849" Properties=species:S:1:pos:R:3 pbc="T T T"
Ac 0.000 0.000 0.000
Ac 0.000 0.000 6.875
Ac 0.000 0.000 12.822
Te 0.000 0.000 3.463
Te 0.000 0.000 16.235
Pt 0.000 0.000 9.849
```

Results
The density of states at the Fermi level is 6.447 states/eV per cell. The calculation puts the total energy at -32.6 eV per cell. As for the symmetry: I4/mmm, No. 139.